First-principles (GGA+U) data for crystalline Cs3Ac3VO8 at its relaxed geometry, as listed in Alexandria.

Computed properties:
Energy = -97.1 eV for the cell shown
Total magnetic moment = 1.00 μB/cell

```
Cs3Ac3VO8
1.0
-1.455 0.496 -7.274
-4.914 -3.065 4.573
0.852 8.166 0.386
Cs Ac V O
3 3 1 8
Direct
0.000 0.000 0.000
0.000 0.500 0.000
0.500 0.500 0.000
0.500 0.000 0.500
0.500 0.500 0.500
0.000 0.500 0.500
0.000 0.000 0.500
0.272 0.545 0.323
0.728 0.455 0.677
0.817 0.634 0.350
0.183 0.366 0.650
0.806 0.040 0.345
0.194 0.960 0.655
0.235 0.040 0.345
0.765 0.960 0.655
```